1.
A plane-wave DFT calculation with PBE was carried out for a relaxed Sr3Ga2Ir2 crystal.

Summary:
ΔE_f = -469 meV per atom
space group = Pbcm (57)
total magnetization = 0.00 μB per formula unit

Cell: 6.137 8.175 14.146 Å, 90.00 90.00 90.00°
Atoms (fractional coordinates):
Ga  0.586  0.750  0.500
Ga  0.181  0.917  0.250
Ga  0.819  0.083  0.750
Ga  0.414  0.250  0.500
Ga  0.586  0.750  0.000
Ga  0.181  0.583  0.750
Ga  0.819  0.417  0.250
Ga  0.414  0.250  0.000
Sr  0.859  0.107  0.098
Sr  0.632  0.764  0.250
Sr  0.368  0.236  0.750
Sr  0.859  0.393  0.598
Sr  0.368  0.264  0.250
Sr  0.141  0.893  0.902
Sr  0.141  0.893  0.598
Sr  0.141  0.607  0.098
Sr  0.859  0.107  0.402
Sr  0.859  0.393  0.902
Sr  0.141  0.607  0.402
Sr  0.632  0.736  0.750
Ir  0.362  0.524  0.592
Ir  0.362  0.524  0.908
Ir  0.638  0.476  0.408
Ir  0.638  0.024  0.592
Ir  0.362  0.976  0.408
Ir  0.362  0.976  0.092
Ir  0.638  0.476  0.092
Ir  0.638  0.024  0.908

2.
A plane-wave DFT calculation with PBE was carried out for a relaxed SrGa2Ir crystal.

Summary:
ΔE_f = -542 meV per atom
space group = P6_3/mmc (194)
total magnetization = 0.00 μB per formula unit

Cell: 4.305 4.305 11.062 Å, 90.00 90.00 120.00°
Atoms (fractional coordinates):
Ga  0.667  0.333  0.058
Ga  0.333  0.667  0.558
Ga  0.333  0.667  0.942
Ga  0.667  0.333  0.442
Sr  0.667  0.333  0.750
Sr  0.333  0.667  0.250
Ir  0.000  0.000  0.500
Ir  0.000  0.000  0.000

3.
A plane-wave DFT calculation with PBE was carried out for a relaxed SrGa4Ir3 crystal.

Summary:
ΔE_f = -459 meV per atom
space group = P4/mmm (123)
total magnetization = 0.00 μB per formula unit

Cell: 4.303 4.303 8.185 Å, 90.00 90.00 90.00°
Atoms (fractional coordinates):
Ga  0.500  0.000  0.175
Ga  0.500  0.000  0.825
Ga  0.000  0.500  0.175
Ga  0.000  0.500  0.825
Sr  0.000  0.000  0.500
Ir  0.000  0.000  0.000
Ir  0.500  0.500  0.653
Ir  0.500  0.500  0.347